This record from OQMD via LeMat-Bulk describes a relaxed NaCoAsO crystal. The functional is GGA+U.

Output
Electronic total energy (eV per formula unit): -16.1
Offset from the most stable computed form (meV per atom): 565

abc: 3.661 3.661 8.979
angles: 90.00 90.00 90.00
Space group P4/nmm (No. 129, origin choice 2)
Symmetry-distinct sites (fractional):
Na (0.250, 0.250, 0.143) [2 per cell]
Co (0.250, 0.750, 0.500) [2 per cell]
As (0.250, 0.250, 0.650) [2 per cell]
O (0.250, 0.750, 0.000) [2 per cell]